CaV2IrO8 | PBE+U | relaxed

Geometry as CIF:
```
data_CaV2IrO8
_cell_length_a 5.6189
_cell_length_b 5.6189
_cell_length_c 6.3780
_cell_angle_alpha 90.00
_cell_angle_beta 90.00
_cell_angle_gamma 120.00
_space_group_name_H-M_alt 'P -3 m 1'
_space_group_IT_number 164
_space_group_name_Hall '-P 3 2"'
loop_
_atom_site_label
_atom_site_type_symbol
_atom_site_fract_x
_atom_site_fract_y
_atom_site_fract_z
_atom_site_occupancy
Ca1 Ca 0.0000 0.0000 0.0000 1
V1 V 0.3333 0.6667 0.2283 1
Ir1 Ir 0.0000 0.0000 0.5000 1
O1 O 0.1579 0.3158 0.3047 1
O2 O 0.3333 0.6667 0.9680 1
```

The total energy comes out at -7.20 eV per atom.